Model A:
## Li2As2H (PBE)

Data for Li2As2H after structural relaxation.

Cell lengths 6.510, 6.510, 3.967 Å; angles 90.00, 90.00, 90.00 degrees
Fractional coordinates of all 10 atoms:
Li (0.182, 0.318, 0.000)
Li (0.318, 0.818, 0.000)
Li (0.682, 0.182, 0.000)
Li (0.818, 0.682, 0.000)
As (0.122, 0.622, 0.500)
As (0.378, 0.122, 0.500)
As (0.622, 0.878, 0.500)
As (0.878, 0.378, 0.500)
H (0.000, 0.000, 0.000)
H (0.500, 0.500, 0.000)

M_tot = 0.0 μB/cell



Model B:
## Li2As2H (PBE)

Data for Li2As2H after structural relaxation.

Cell lengths 7.623, 7.623, 7.623 Å; angles 152.45, 152.45, 39.36 degrees
Fractional coordinates of all 5 atoms:
Li (0.098, 0.098, 0.000)
Li (0.902, 0.902, 0.000)
As (0.250, 0.750, 0.500)
As (0.750, 0.250, 0.500)
H (0.500, 0.500, 0.000)

M_tot = 0.0 μB/cell



Stability ranking, top and bottom: model A is the most stable and model B is the least stable.



Model A:
## LiAsH2 (PBE)

Data for LiAsH2 after structural relaxation.

Cell lengths 6.031, 6.031, 6.031 Å; angles 28.19, 28.19, 28.19 degrees
Fractional coordinates of all 4 atoms:
Li (0.000, 0.000, 0.000)
As (0.500, 0.500, 0.500)
H (0.391, 0.391, 0.391)
H (0.609, 0.609, 0.609)

M_tot = 0.0 μB/cell



Model B:
## LiAsH2 (PBE)

Data for LiAsH2 after structural relaxation.

Cell lengths 6.596, 6.596, 6.596 Å; angles 144.83, 144.83, 50.59 degrees
Fractional coordinates of all 8 atoms:
Li (0.000, 0.000, 0.000)
Li (0.750, 0.250, 0.500)
As (0.250, 0.750, 0.500)
As (0.500, 0.500, 0.000)
H (0.265, 0.625, 0.140)
H (0.375, 0.515, 0.640)
H (0.485, 0.125, 0.860)
H (0.875, 0.735, 0.360)

M_tot = 0.0 μB/cell



Model C:
## LiAsH2 (PBE)

Data for LiAsH2 after structural relaxation.

Cell lengths 3.760, 3.760, 3.760 Å; angles 60.00, 60.00, 60.00 degrees
Fractional coordinates of all 4 atoms:
Li (0.000, 0.000, 0.000)
As (0.500, 0.500, 0.500)
H (0.250, 0.250, 0.250)
H (0.750, 0.750, 0.750)

M_tot = 0.0 μB/cell



Stability ranking, top and bottom: model A is the most stable and model C is the least stable.



Model A:
## Li4AsH2 (PBE)

Data for Li4AsH2 after structural relaxation.

Cell lengths 5.681, 5.940, 6.266 Å; angles 99.65, 105.21, 104.96 degrees
Fractional coordinates of all 14 atoms:
Li (0.000, 0.000, 0.000)
Li (0.016, 0.462, 0.496)
Li (0.129, 0.489, 0.046)
Li (0.324, 0.883, 0.398)
Li (0.408, 0.383, 0.468)
Li (0.428, 0.866, 0.834)
Li (0.629, 0.506, 0.990)
Li (0.831, 0.966, 0.342)
As (0.201, 0.168, 0.735)
As (0.744, 0.208, 0.694)
H (0.055, 0.261, 0.242)
H (0.339, 0.656, 0.550)
H (0.483, 0.755, 0.113)
H (0.979, 0.752, 0.163)

M_tot = 0.0 μB/cell



Model B:
## Li4AsH2 (PBE)

Data for Li4AsH2 after structural relaxation.

Cell lengths 5.375, 6.073, 6.232 Å; angles 111.32, 95.72, 103.82 degrees
Fractional coordinates of all 14 atoms:
Li (0.000, 0.000, 0.000)
Li (0.019, 0.425, 0.893)
Li (0.107, 0.733, 0.606)
Li (0.350, 0.920, 0.285)
Li (0.388, 0.451, 0.370)
Li (0.478, 0.650, 0.857)
Li (0.521, 0.226, 0.004)
Li (0.844, 0.202, 0.425)
As (0.662, 0.911, 0.630)
As (0.826, 0.746, 0.244)
H (0.156, 0.426, 0.597)
H (0.210, 0.792, 0.944)
H (0.213, 0.308, 0.054)
H (0.545, 0.212, 0.293)

M_tot = 0.0 μB/cell



Stability ranking, top and bottom: model B is the most stable and model A is the least stable.



Model A:
## LiAsH3 (PBE)

Data for LiAsH3 after structural relaxation.

Cell lengths 3.832, 3.832, 3.832 Å; angles 90.00, 90.00, 90.00 degrees
Fractional coordinates of all 5 atoms:
Li (0.000, 0.000, 0.000)
As (0.500, 0.500, 0.500)
H (0.000, 0.500, 0.500)
H (0.500, 0.000, 0.500)
H (0.500, 0.500, 0.000)

M_tot = 0.0 μB/cell



Model B:
## LiAsH3 (PBE)

Data for LiAsH3 after structural relaxation.

Cell lengths 3.409, 3.409, 3.409 Å; angles 90.00, 90.00, 90.00 degrees
Fractional coordinates of all 5 atoms:
Li (0.000, 0.000, 0.000)
As (0.500, 0.500, 0.500)
H (0.000, 0.000, 0.500)
H (0.000, 0.500, 0.000)
H (0.500, 0.000, 0.000)

M_tot = 0.0 μB/cell



Stability ranking, top and bottom: model A is the most stable and model B is the least stable.